First-principles (GGA+U) data for an optimized crystal structure of MnVBiO5, as listed in Alexandria via LeMat-Bulk.

The structure in POSCAR format:
```
MnVBiO5
1.0
3.545 -4.951 0.000
3.545 4.951 0.000
-3.121 0.000 6.587
Mn V Bi O
2 2 2 10
direct
0.000 0.000 0.000 Mn
0.000 0.000 0.500 Mn
0.327 0.673 0.750 V
0.673 0.327 0.250 V
0.293 0.707 0.250 Bi
0.707 0.293 0.750 Bi
0.086 0.914 0.250 O
0.111 0.657 0.884 O
0.246 0.388 0.577 O
0.343 0.889 0.616 O
0.388 0.246 0.077 O
0.612 0.754 0.923 O
0.657 0.111 0.384 O
0.754 0.612 0.423 O
0.889 0.343 0.116 O
0.914 0.086 0.750 O
```

Calculated density, Mg/m³: 5.67
E_tot, eV/atom: -7.112